[1]
The following is a DFT calculation (GGA-PBEsol) of AgTeAu2C after structural relaxation.

Computed properties:
**Raw formation energy**: 1.577 eV/atom
**Space group**: P4/mmm

abc: 5.1897 5.1897 4.1579
angles: 90.00 90.00 90.00
With the nearest neighbours (Å) after each atom.
Fractional coordinates of all 5 atoms:
Ag 0.0000 0.0000 0.0000  8 Au 3.32, 4 C 3.67
Te 0.5000 0.5000 0.5000  2 C 2.08
Au 0.0000 0.5000 0.5000  2 Te 2.59
Au 0.5000 0.0000 0.5000  2 Te 2.59
C 0.5000 0.5000 0.0000  2 Te 2.08

---

[2]
The following is a DFT calculation (GGA-PBEsol) of Sb2C3N6 after structural relaxation.

Computed properties:
**Raw formation energy**: 0.243 eV/atom
**Space group**: R-3c

abc: 10.3445 10.3445 10.3445
angles: 37.89 37.89 37.89
With the nearest neighbours (Å) after each atom.
Fractional coordinates of all 22 atoms:
Sb 0.1633 0.1633 0.1633  3 N 2.20
Sb 0.3367 0.3367 0.3367  3 N 2.20
Sb 0.6633 0.6633 0.6633  3 N 2.20
Sb 0.8367 0.8367 0.8367  3 N 2.20
C 0.0078 0.7500 0.4922  2 N 1.23
C 0.2500 0.5078 0.9922  2 N 1.23
C 0.4922 0.0078 0.7500  2 N 1.23
C 0.5078 0.9922 0.2500  2 N 1.23
C 0.7500 0.4922 0.0078  2 N 1.23
C 0.9922 0.2500 0.5078  2 N 1.23
N 0.0075 0.3368 0.5312  1 C 1.23
N 0.0312 0.8368 0.5075  1 C 1.23
N 0.1632 0.4925 0.9688  1 C 1.23
N 0.3368 0.5312 0.0075  1 C 1.23
N 0.4688 0.9925 0.6632  1 C 1.23
N 0.4925 0.9688 0.1632  1 C 1.23
N 0.5075 0.0312 0.8368  1 C 1.23
N 0.5312 0.0075 0.3368  1 C 1.23
N 0.6632 0.4688 0.9925  1 C 1.23
N 0.8368 0.5075 0.0312  1 C 1.23
N 0.9688 0.1632 0.4925  1 C 1.23
N 0.9925 0.6632 0.4688  1 C 1.23

---

[3]
The following is a DFT calculation (GGA-PBEsol) of SrAlBr after structural relaxation.

Computed properties:
**Raw formation energy**: -0.425 eV/atom
**Space group**: P3m1

abc: 3.9185 3.9185 7.2969
angles: 90.00 90.00 120.00
With the nearest neighbours (Å) after each atom.
Fractional coordinates of all 3 atoms:
Sr 0.0000 0.0000 0.0000  3 Br 3.01, 3 Al 3.32
Al 0.6667 0.3333 0.6670  3 Sr 3.32, 3 Br 3.66
Br 0.3333 0.6667 0.2719  3 Sr 3.01

---

[4]
The following is a DFT calculation (GGA-PBEsol) of Ti2Si2Pd after structural relaxation.

Computed properties:
**Raw formation energy**: -0.860 eV/atom
**Space group**: P4/mbm

abc: 6.2062 6.2062 3.7520
angles: 90.00 90.00 90.00
With the nearest neighbours (Å) after each atom.
Fractional coordinates of all 10 atoms:
Ti 0.1687 0.3313 0.0000  6 Si 2.56-2.66
Ti 0.3313 0.8313 0.0000  6 Si 2.56-2.66
Ti 0.6687 0.1687 0.0000  6 Si 2.56-2.66
Ti 0.8313 0.6687 0.0000  6 Si 2.56-2.66
Si 0.1322 0.6322 0.5000  1 Si 2.32, 2 Pd 2.43, 2 Ti 2.56
Si 0.3678 0.1322 0.5000  1 Si 2.32, 2 Pd 2.43, 2 Ti 2.56
Si 0.6322 0.8678 0.5000  1 Si 2.32, 2 Pd 2.43, 2 Ti 2.56
Si 0.8678 0.3678 0.5000  1 Si 2.32, 2 Pd 2.43, 2 Ti 2.56
Pd 0.0000 0.0000 0.5000  4 Si 2.43
Pd 0.5000 0.5000 0.5000  4 Si 2.43

---

[5]
The following is a DFT calculation (GGA-PBEsol) of Mg2Zn2Ag after structural relaxation.

Computed properties:
**Energy relative to the elements**: -7 kJ/mol of atoms
**Space group**: P4/mbm

abc: 6.8379 6.8379 3.7703
angles: 90.00 90.00 90.00
With the nearest neighbours (Å) after each atom.
Fractional coordinates of all 10 atoms:
Mg 0.1706 0.3294 0.0000  6 Zn 2.70-2.80
Mg 0.3294 0.8294 0.0000  6 Zn 2.70-2.80
Mg 0.6706 0.1706 0.0000  6 Zn 2.70-2.80
Mg 0.8294 0.6706 0.0000  6 Zn 2.70-2.80
Zn 0.1291 0.6291 0.5000  1 Zn 2.50, 2 Ag 2.69, 2 Mg 2.70
Zn 0.3709 0.1291 0.5000  1 Zn 2.50, 2 Ag 2.69, 2 Mg 2.70
Zn 0.6291 0.8709 0.5000  1 Zn 2.50, 2 Ag 2.69, 2 Mg 2.70
Zn 0.8709 0.3709 0.5000  1 Zn 2.50, 2 Ag 2.69, 2 Mg 2.70
Ag 0.0000 0.0000 0.5000  4 Zn 2.69
Ag 0.5000 0.5000 0.5000  4 Zn 2.69

---

[6]
The following is a DFT calculation (GGA-PBEsol) of Li2PIr2 after structural relaxation.

Computed properties:
**Energy relative to the elements**: -41 kJ/mol of atoms
**Space group**: P4/mbm

abc: 5.8614 5.8614 4.3219
angles: 90.00 90.00 90.00
With the nearest neighbours (Å) after each atom.
Fractional coordinates of all 10 atoms:
Li 0.1601 0.3399 0.0000  1 Li 2.65, 6 Ir 2.67-2.83
Li 0.3399 0.8399 0.0000  1 Li 2.65, 6 Ir 2.67-2.83
Li 0.6601 0.1601 0.0000  1 Li 2.65, 6 Ir 2.67-2.83
Li 0.8399 0.6601 0.0000  1 Li 2.65, 6 Ir 2.67-2.83
P 0.0000 0.0000 0.5000  4 Ir 2.23
P 0.5000 0.5000 0.5000  4 Ir 2.23
Ir 0.1515 0.6515 0.5000  2 P 2.23
Ir 0.3485 0.1515 0.5000  2 P 2.23
Ir 0.6515 0.8485 0.5000  2 P 2.23
Ir 0.8485 0.3485 0.5000  2 P 2.23

---

[7]
The following is a DFT calculation (GGA-PBEsol) of VP4O12 after structural relaxation.

Computed properties:
**Offset from the most stable computed form**: 5 meV per atom
**Raw formation energy**: -2.105 eV/atom
**Space group**: P2_1

abc: 5.1347 13.4684 7.2940
angles: 90.00 101.18 90.00
With the nearest neighbours (Å) after each atom.
Fractional coordinates of all 34 atoms:
V 0.0020 0.0000 0.0023  6 O 1.83-1.97
V 0.9980 0.5000 0.9977  6 O 1.83-1.97
P 0.2794 0.5961 0.3754  3 O 1.46-1.59
P 0.3782 0.9491 0.4012  4 O 1.46-1.63
P 0.4756 0.3636 0.9360  4 O 1.51-1.59
P 0.4794 0.1383 0.9396  4 O 1.50-1.58
P 0.5206 0.6383 0.0604  4 O 1.50-1.58
P 0.5244 0.8636 0.0640  4 O 1.51-1.59
P 0.6218 0.4491 0.5988  4 O 1.46-1.63
P 0.7206 0.0961 0.6246  3 O 1.46-1.59
O 0.1273 0.6835 0.4086  1 P 1.46
O 0.1331 0.5123 0.2484  1 P 1.56
O 0.1432 0.9901 0.2560  1 P 1.55
O 0.2062 0.3795 0.9842  1 P 1.51
O 0.2110 0.1219 0.9881  1 P 1.50
O 0.2928 0.5798 0.9485  1 P 1.51
O 0.2980 0.9238 0.9568  1 P 1.51
O 0.3290 0.9012 0.5702  1 P 1.46
O 0.4240 0.5435 0.5625  2 P 1.59-1.62
O 0.4428 0.7515 0.0257  2 P 1.58
O 0.4594 0.3782 0.7184  2 P 1.59-1.63
O 0.4675 0.1213 0.7234  2 P 1.58-1.64
O 0.5325 0.6213 0.2766  2 P 1.58-1.64
O 0.5406 0.8782 0.2816  2 P 1.59-1.63
O 0.5572 0.2515 0.9743  2 P 1.58
O 0.5760 0.0435 0.4375  2 P 1.59-1.62
O 0.6710 0.4012 0.4298  1 P 1.46
O 0.7020 0.4238 0.0432  1 P 1.51
O 0.7072 0.0798 0.0515  1 P 1.51
O 0.7890 0.6219 0.0119  1 P 1.50
O 0.7938 0.8795 0.0158  1 P 1.51
O 0.8568 0.4901 0.7440  1 P 1.55
O 0.8669 0.0123 0.7516  1 P 1.56
O 0.8727 0.1835 0.5914  1 P 1.46

---

[8]
The following is a DFT calculation (GGA-PBEsol) of Ti2Te2C after structural relaxation.

Computed properties:
**Raw formation energy**: -0.720 eV/atom
**Space group**: P-3m1

abc: 3.2636 3.2636 9.9362
angles: 90.00 90.00 120.00
With the nearest neighbours (Å) after each atom.
Fractional coordinates of all 5 atoms:
Ti 0.3333 0.6667 0.1090  3 C 2.17
Ti 0.6667 0.3333 0.8910  3 C 2.17
Te 0.3333 0.6667 0.6796  3 Ti 2.82
Te 0.6667 0.3333 0.3204  3 Ti 2.82
C 0.0000 0.0000 0.0000  6 Ti 2.17

---

| no. | uncorrected energy (eV/cell) | size of the total moment (μB/cell) |
| --- | --- | --- |
| 1 | -16.4 | 0.94 |
| 2 | -173.1 | 0.00 |
| 3 | -9.1 | 0.01 |
| 4 | -76.8 | 0.00 |
| 5 | -20.5 | 0.00 |
| 6 | -63.0 | 0.00 |
| 7 | -263.2 | 2.00 |
| 8 | -36.9 | 0.00 |